# Ti2SeCl

Crystalline Ti2SeCl at its relaxed geometry (PBE-GGA, Alexandria via LeMat-Bulk).

Space group: Fm-3m
Total moment, μB per cell: 0.787
Energy relative to the elements, uncorrected, eV/atom: -0.614
Excess energy over the best structure of this formula in the dataset, meV/atom: 0

Geometry as CIF:
```
data_Ti2SeCl
_chemical_formula_sum 'Ti2 Se1 Cl1'
_symmetry_space_group_name_H-M 'P 1'
_symmetry_Int_Tables_number 1
_symmetry_space_group_name_Hall 'P 1'
_cell_length_a 4.485
_cell_length_b 4.485
_cell_length_c 4.485
_cell_angle_alpha 60.00
_cell_angle_beta 60.00
_cell_angle_gamma 60.00
loop_
_atom_site_label
_atom_site_fract_x
_atom_site_fract_y
_atom_site_fract_z
Cl1 0.000 0.000 0.000
Se1 0.500 0.500 0.500
Ti1 0.750 0.750 0.750
Ti2 0.250 0.250 0.250
```



# Ti2Se2Cl

Crystalline Ti2Se2Cl at its relaxed geometry (PBE-GGA, Alexandria via LeMat-Bulk).

Space group: C2/m
Total moment, μB per cell: 0.287
Energy relative to the elements, uncorrected, eV/atom: -1.216
Excess energy over the best structure of this formula in the dataset, meV/atom: 0

Geometry as CIF:
```
data_Ti2Se2Cl
_chemical_formula_sum 'Ti4 Se4 Cl2'
_symmetry_space_group_name_H-M 'P 1'
_symmetry_Int_Tables_number 1
_symmetry_space_group_name_Hall 'P 1'
_cell_length_a 5.028
_cell_length_b 6.457
_cell_length_c 7.269
_cell_angle_alpha 110.55
_cell_angle_beta 90.00
_cell_angle_gamma 112.92
loop_
_atom_site_label
_atom_site_fract_x
_atom_site_fract_y
_atom_site_fract_z
Cl1 0.352 0.704 0.891
Ti1 0.497 0.995 0.292
Se1 0.014 0.028 0.780
Ti2 0.143 0.286 0.573
Cl2 0.648 0.296 0.109
Ti3 0.503 0.005 0.708
Ti4 0.857 0.714 0.427
Se2 0.986 0.972 0.220
Se3 0.310 0.621 0.390
Se4 0.690 0.379 0.610
```



# TiSeCl2

Crystalline TiSeCl2 at its relaxed geometry (PBE-GGA, Alexandria via LeMat-Bulk).

Space group: I-42d
Total moment, μB per cell: 0.356
Energy relative to the elements, uncorrected, eV/atom: -0.263
Excess energy over the best structure of this formula in the dataset, meV/atom: 1028

Geometry as CIF:
```
data_TiSeCl2
_chemical_formula_sum 'Ti2 Se2 Cl4'
_symmetry_space_group_name_H-M 'P 1'
_symmetry_Int_Tables_number 1
_symmetry_space_group_name_Hall 'P 1'
_cell_length_a 7.075
_cell_length_b 7.075
_cell_length_c 6.796
_cell_angle_alpha 58.63
_cell_angle_beta 58.63
_cell_angle_gamma 90.00
loop_
_atom_site_label
_atom_site_fract_x
_atom_site_fract_y
_atom_site_fract_z
Cl1 0.375 0.496 0.750
Se1 0.000 0.000 0.000
Cl2 0.504 0.125 0.250
Ti1 0.500 0.500 0.000
Ti2 0.250 0.750 0.500
Se2 0.750 0.250 0.500
Cl3 0.246 0.625 0.250
Cl4 0.875 0.754 0.750
```